Version 1
! Cu3NiIr, optimized geometry, DFT GGA-PBE; values from VASP
&SYSTEM
  ibrav = 0, nat = 5, ntyp = 3
/
ATOMIC_SPECIES
Cu 63.55 Cu.upf
Ni 58.69 Ni.upf
Ir 192.22 Ir.upf
ATOMIC_POSITIONS crystal
Cu 0.0000 0.0000 0.5000
Cu 0.0000 0.5000 0.0000
Cu 0.5000 0.0000 0.0000
Ni 0.0000 0.0000 0.0000
Ir 0.5000 0.5000 0.5000
CELL_PARAMETERS angstrom
4.2312 0.0000 0.0000
0.0000 4.2312 0.0000
0.0000 0.0000 4.2312
! calculated volume	15.15	A^3/atom

=====

Version 2
! Cu3NiIr, optimized geometry, DFT GGA-PBE; values from VASP
&SYSTEM
  ibrav = 0, nat = 5, ntyp = 3
/
ATOMIC_SPECIES
Cu 63.55 Cu.upf
Ni 58.69 Ni.upf
Ir 192.22 Ir.upf
ATOMIC_POSITIONS crystal
Cu 0.0000 0.0000 0.5000
Cu 0.0000 0.5000 0.0000
Cu 0.5000 0.0000 0.0000
Ni 0.5000 0.5000 0.5000
Ir 0.0000 0.0000 0.0000
CELL_PARAMETERS angstrom
4.6044 0.0000 0.0000
0.0000 4.6044 0.0000
0.0000 0.0000 4.6044
! calculated volume	19.52	A^3/atom

=====

Going by the energies, version 1 is most stable and the next is 0.234 eV/atom up.

=====

Version 1
! Cu2Ni6Ir, optimized geometry, DFT GGA-PBE; values from VASP
&SYSTEM
  ibrav = 0, nat = 9, ntyp = 3
/
ATOMIC_SPECIES
Cu 63.55 Cu.upf
Ni 58.69 Ni.upf
Ir 192.22 Ir.upf
ATOMIC_POSITIONS crystal
Cu 0.3333 0.6667 0.0000
Cu 0.6667 0.3333 0.0000
Ni 0.0000 0.3406 0.7221
Ni 0.0000 0.6594 0.2779
Ni 0.3406 0.0000 0.7221
Ni 0.3406 0.3406 0.2779
Ni 0.6594 0.0000 0.2779
Ni 0.6594 0.6594 0.7221
Ir 0.0000 0.0000 0.5000
CELL_PARAMETERS angstrom
7.0526 0.0000 0.0000
-3.5263 6.1077 0.0000
0.0000 0.0000 2.4853
! calculated volume	11.90	A^3/atom

=====

Version 2
! Cu2Ni6Ir, optimized geometry, DFT GGA-PBE; values from VASP
&SYSTEM
  ibrav = 0, nat = 9, ntyp = 3
/
ATOMIC_SPECIES
Cu 63.55 Cu.upf
Ni 58.69 Ni.upf
Ir 192.22 Ir.upf
ATOMIC_POSITIONS crystal
Cu 0.1504 0.1504 0.1745
Cu 0.8496 0.8496 0.8255
Ni 0.1313 0.1313 0.9346
Ni 0.2833 0.2833 0.6102
Ni 0.4320 0.4320 0.2792
Ni 0.5680 0.5680 0.7208
Ni 0.7167 0.7167 0.3898
Ni 0.8687 0.8687 0.0654
Ir 0.0000 0.0000 0.5000
CELL_PARAMETERS angstrom
4.1707 -1.2686 0.0000
4.1707 1.2686 0.0000
-0.8578 0.0000 10.0236
! calculated volume	11.79	A^3/atom

=====

Going by the energies, version 2 is most stable and the next is 0.104 eV/atom up.

=====

Version 1
! CuNi4Ir, optimized geometry, DFT GGA-PBE; values from VASP
&SYSTEM
  ibrav = 0, nat = 6, ntyp = 3
/
ATOMIC_SPECIES
Cu 63.55 Cu.upf
Ni 58.69 Ni.upf
Ir 192.22 Ir.upf
ATOMIC_POSITIONS crystal
Cu 0.0000 0.0000 0.0000
Ni 0.3749 0.3749 0.3749
Ni 0.3749 0.3749 0.8754
Ni 0.3749 0.8754 0.3749
Ni 0.8754 0.3749 0.3749
Ir 0.7500 0.7500 0.7500
CELL_PARAMETERS angstrom
0.0000 3.2961 3.2961
3.2961 0.0000 3.2961
3.2961 3.2961 0.0000
! calculated volume	11.94	A^3/atom

=====

Version 2
! CuNi4Ir, optimized geometry, DFT GGA-PBE; values from VASP
&SYSTEM
  ibrav = 0, nat = 12, ntyp = 3
/
ATOMIC_SPECIES
Cu 63.55 Cu.upf
Ni 58.69 Ni.upf
Ir 192.22 Ir.upf
ATOMIC_POSITIONS crystal
Cu 0.0000 0.0000 0.0000
Cu 0.5000 0.5000 0.0000
Ni 0.1682 0.5000 0.8351
Ni 0.1687 0.5000 0.3347
Ni 0.3313 0.0000 0.6653
Ni 0.3318 0.0000 0.1649
Ni 0.6682 0.0000 0.8351
Ni 0.6687 0.0000 0.3347
Ni 0.8313 0.5000 0.6653
Ni 0.8318 0.5000 0.1649
Ir 0.0000 0.0000 0.5000
Ir 0.5000 0.5000 0.5000
CELL_PARAMETERS angstrom
8.0867 0.0000 0.0000
0.0000 3.5966 0.0000
-1.6550 0.0000 4.8309
! calculated volume	11.71	A^3/atom

=====

Going by the energies, version 2 is most stable and the next is 0.131 eV/atom up.

=====

Version 1
! Cu2Ni7Ir2, optimized geometry, DFT GGA-PBE; values from VASP
&SYSTEM
  ibrav = 0, nat = 11, ntyp = 3
/
ATOMIC_SPECIES
Cu 63.55 Cu.upf
Ni 58.69 Ni.upf
Ir 192.22 Ir.upf
ATOMIC_POSITIONS crystal
Cu 0.0836 0.3570 0.3148
Cu 0.9164 0.6430 0.6852
Ni 0.0000 0.0000 0.5000
Ni 0.1810 0.7338 0.1410
Ni 0.2741 0.0873 0.9560
Ni 0.4598 0.8224 0.5943
Ni 0.5402 0.1776 0.4057
Ni 0.7259 0.9127 0.0440
Ni 0.8190 0.2662 0.8590
Ir 0.3645 0.4493 0.7735
Ir 0.6355 0.5507 0.2265
CELL_PARAMETERS angstrom
4.4380 0.0000 0.0000
-1.4409 5.4890 0.0000
-0.6974 -1.9987 5.3510
! calculated volume	11.85	A^3/atom

=====

Version 2
! Cu2Ni7Ir2, optimized geometry, DFT GGA-PBE; values from VASP
&SYSTEM
  ibrav = 0, nat = 11, ntyp = 3
/
ATOMIC_SPECIES
Cu 63.55 Cu.upf
Ni 58.69 Ni.upf
Ir 192.22 Ir.upf
ATOMIC_POSITIONS crystal
Cu 0.2122 0.7878 0.0000
Cu 0.7878 0.2122 0.0000
Ni 0.0000 0.0000 0.2846
Ni 0.0000 0.0000 0.7154
Ni 0.0000 0.5000 0.2823
Ni 0.0000 0.5000 0.7177
Ni 0.5000 0.0000 0.2823
Ni 0.5000 0.0000 0.7177
Ni 0.5000 0.5000 0.0000
Ir 0.3267 0.3267 0.5000
Ir 0.6733 0.6733 0.5000
CELL_PARAMETERS angstrom
3.3892 -4.1064 0.0000
3.3892 4.1064 0.0000
0.0000 0.0000 5.4878
! calculated volume	13.89	A^3/atom

=====

Going by the energies, version 1 is most stable and the next is 0.514 eV/atom up.

=====

Version 1
! NpCuIr2, optimized geometry, DFT GGA-PBE; values from VASP
&SYSTEM
  ibrav = 0, nat = 16, ntyp = 3
/
ATOMIC_SPECIES
Np 237.00 Np.upf
Cu 63.55 Cu.upf
Ir 192.22 Ir.upf
ATOMIC_POSITIONS crystal
Np 0.0000 0.0000 0.0000
Np 0.0000 0.5000 0.5000
Np 0.5000 0.0000 0.5000
Np 0.5000 0.5000 0.0000
Cu 0.0000 0.0000 0.5000
Cu 0.0000 0.5000 0.0000
Cu 0.5000 0.0000 0.0000
Cu 0.5000 0.5000 0.5000
Ir 0.2500 0.2500 0.2500
Ir 0.2500 0.2500 0.7500
Ir 0.2500 0.7500 0.2500
Ir 0.2500 0.7500 0.7500
Ir 0.7500 0.2500 0.2500
Ir 0.7500 0.2500 0.7500
Ir 0.7500 0.7500 0.2500
Ir 0.7500 0.7500 0.7500
CELL_PARAMETERS angstrom
6.4396 0.0000 0.0000
0.0000 6.4396 0.0000
0.0000 0.0000 6.4396
! calculated volume	16.69	A^3/atom

=====

Version 2
! NpCuIr2, optimized geometry, DFT GGA-PBE; values from VASP
&SYSTEM
  ibrav = 0, nat = 4, ntyp = 3
/
ATOMIC_SPECIES
Np 237.00 Np.upf
Cu 63.55 Cu.upf
Ir 192.22 Ir.upf
ATOMIC_POSITIONS crystal
Np 0.0000 0.0000 0.0000
Cu 0.5000 0.5000 0.0000
Ir 0.0000 0.5000 0.5000
Ir 0.5000 0.0000 0.5000
CELL_PARAMETERS angstrom
4.1247 0.0000 0.0000
0.0000 4.1247 0.0000
0.0000 0.0000 3.8328
! calculated volume	16.30	A^3/atom

=====

Going by the energies, version 2 is most stable and the next is 0.128 eV/atom up.

=====

Version 1
! NpCuIr, optimized geometry, DFT GGA-PBE; values from VASP
&SYSTEM
  ibrav = 0, nat = 6, ntyp = 3
/
ATOMIC_SPECIES
Np 237.00 Np.upf
Cu 63.55 Cu.upf
Ir 192.22 Ir.upf
ATOMIC_POSITIONS crystal
Np 0.0000 0.0000 0.0000
Np 0.5000 0.5000 0.5000
Cu 0.0000 0.0000 0.6899
Cu 0.5000 0.5000 0.1899
Ir 0.0000 0.0000 0.3315
Ir 0.5000 0.5000 0.8315
CELL_PARAMETERS angstrom
3.0119 0.0000 0.0000
0.0000 3.0119 0.0000
0.0000 0.0000 11.3141
! calculated volume	17.11	A^3/atom

=====

Version 2
! NpCuIr, optimized geometry, DFT GGA-PBE; values from VASP
&SYSTEM
  ibrav = 0, nat = 3, ntyp = 3
/
ATOMIC_SPECIES
Np 237.00 Np.upf
Cu 63.55 Cu.upf
Ir 192.22 Ir.upf
ATOMIC_POSITIONS crystal
Np 0.0000 0.0000 0.0000
Cu 0.6667 0.3333 0.5000
Ir 0.3333 0.6667 0.5000
CELL_PARAMETERS angstrom
4.4596 0.0000 0.0000
-2.2298 3.8621 0.0000
0.0000 0.0000 3.0577
! calculated volume	17.55	A^3/atom

=====

Going by the energies, version 2 is most stable and the next is 0.138 eV/atom up.

=====

Version 1
! Cu2Ir2O7, optimized geometry, DFT GGA-PBE; values from VASP
&SYSTEM
  ibrav = 0, nat = 22, ntyp = 3
/
ATOMIC_SPECIES
Cu 63.55 Cu.upf
Ir 192.22 Ir.upf
O 16.00 O.upf
ATOMIC_POSITIONS crystal
Cu 0.0000 0.0000 0.0000
Cu 0.0000 0.0000 0.5000
Cu 0.0000 0.5000 0.0000
Cu 0.5000 0.0000 0.0000
Ir 0.0000 0.5000 0.5000
Ir 0.5000 0.0000 0.5000
Ir 0.5000 0.5000 0.0000
Ir 0.5000 0.5000 0.5000
O 0.1250 0.1250 0.1250
O 0.1660 0.1660 0.5840
O 0.1660 0.5840 0.1660
O 0.1660 0.5840 0.5840
O 0.4160 0.4160 0.8340
O 0.4160 0.8340 0.4160
O 0.4160 0.8340 0.8340
O 0.5840 0.1660 0.1660
O 0.5840 0.1660 0.5840
O 0.5840 0.5840 0.1660
O 0.8340 0.4160 0.4160
O 0.8340 0.4160 0.8340
O 0.8340 0.8340 0.4160
O 0.8750 0.8750 0.8750
CELL_PARAMETERS angstrom
0.0000 4.9596 4.9596
4.9596 0.0000 4.9596
4.9596 4.9596 0.0000
! calculated volume	11.09	A^3/atom

=====

Version 2
! Cu2Ir2O7, optimized geometry, DFT GGA-PBE; values from VASP
&SYSTEM
  ibrav = 0, nat = 11, ntyp = 3
/
ATOMIC_SPECIES
Cu 63.55 Cu.upf
Ir 192.22 Ir.upf
O 16.00 O.upf
ATOMIC_POSITIONS crystal
Cu 0.2311 0.2311 0.1032
Cu 0.7689 0.7689 0.8968
Ir 0.1795 0.8205 0.5000
Ir 0.8205 0.1795 0.5000
O 0.0757 0.0757 0.7302
O 0.0835 0.4608 0.3082
O 0.4608 0.0835 0.3082
O 0.5000 0.5000 0.0000
O 0.5392 0.9165 0.6918
O 0.9165 0.5392 0.6918
O 0.9243 0.9243 0.2698
CELL_PARAMETERS angstrom
2.9020 -4.5195 0.0000
2.9020 4.5195 0.0000
-0.7248 0.0000 5.3578
! calculated volume	12.78	A^3/atom

=====

Going by the energies, version 1 is most stable and the next is 0.114 eV/atom up.

=====

Version 1
! Cu2IrO6, optimized geometry, DFT GGA-PBE; values from VASP
&SYSTEM
  ibrav = 0, nat = 18, ntyp = 3
/
ATOMIC_SPECIES
Cu 63.55 Cu.upf
Ir 192.22 Ir.upf
O 16.00 O.upf
ATOMIC_POSITIONS crystal
Cu 0.0000 0.0000 0.1840
Cu 0.0000 0.0000 0.8160
Cu 0.5000 0.5000 0.3160
Cu 0.5000 0.5000 0.6840
Ir 0.0000 0.5000 0.0000
Ir 0.5000 0.0000 0.5000
O 0.2005 0.1652 0.0000
O 0.2425 0.6504 0.1635
O 0.2425 0.6504 0.8365
O 0.2575 0.1504 0.3365
O 0.2575 0.1504 0.6635
O 0.2995 0.6652 0.5000
O 0.7005 0.3348 0.5000
O 0.7425 0.8496 0.3365
O 0.7425 0.8496 0.6635
O 0.7575 0.3496 0.1635
O 0.7575 0.3496 0.8365
O 0.7995 0.8348 0.0000
CELL_PARAMETERS angstrom
4.4611 0.0000 0.0000
0.0000 5.3758 0.0000
0.0000 0.0000 8.1949
! calculated volume	10.92	A^3/atom

=====

Version 2
! Cu2IrO6, optimized geometry, DFT GGA-PBE; values from VASP
&SYSTEM
  ibrav = 0, nat = 9, ntyp = 3
/
ATOMIC_SPECIES
Cu 63.55 Cu.upf
Ir 192.22 Ir.upf
O 16.00 O.upf
ATOMIC_POSITIONS crystal
Cu 0.2029 0.2029 0.1438
Cu 0.7971 0.7971 0.8562
Ir 0.0000 0.0000 0.5000
O 0.0449 0.0449 0.2601
O 0.3217 0.3217 0.9519
O 0.3730 0.3730 0.4098
O 0.6270 0.6270 0.5902
O 0.6783 0.6783 0.0481
O 0.9551 0.9551 0.7399
CELL_PARAMETERS angstrom
4.7503 -1.6951 0.0000
4.7503 1.6951 0.0000
-1.9535 0.0000 6.5782
! calculated volume	11.77	A^3/atom

=====

Going by the energies, version 1 is most stable and the next is 0.098 eV/atom up.